This record from the Alexandria database describes a relaxed TbGe3Rh3 crystal. The functional is PBE. Values from VASP.

Structure (Quantum ESPRESSO input):
```
&SYSTEM
  ibrav = 0, nat = 14, ntyp = 3
/
ATOMIC_SPECIES
Rh 102.91 Rh.upf
Ge 72.64 Ge.upf
Tb 158.93 Tb.upf
CELL_PARAMETERS angstrom
6.6815 0.0000 0.0000
0.0000 6.6815 0.0000
0.0000 0.0000 6.6815
ATOMIC_POSITIONS angstrom
Rh 1.6704 0.0000 3.3407
Rh 0.0000 3.3407 1.6704
Rh 3.3407 5.0111 0.0000
Rh 5.0111 0.0000 3.3407
Rh 0.0000 3.3407 5.0111
Rh 3.3407 1.6704 0.0000
Ge 0.0000 1.6704 3.3407
Ge 0.0000 5.0111 3.3407
Ge 3.3407 0.0000 5.0111
Ge 5.0111 3.3407 0.0000
Ge 3.3407 0.0000 1.6704
Ge 1.6704 3.3407 0.0000
Tb 3.3407 3.3407 3.3407
Tb 0.0000 0.0000 0.0000
```

Values from the calculation:
formation energy = -0.256 eV/atom
calculated volume = 21.31 Å³ per atom
VASP energy = -42.33 eV per formula unit
energy relative to the lowest polymorph listed for this composition = 0.395 eV/atom